DFT (GGA-PBE) results for an optimized crystal structure of Rb3DyNp2O9. Values from VASP.

Quantum ESPRESSO input file:
```
&SYSTEM
  ibrav = 0, nat = 15, ntyp = 4
/
ATOMIC_SPECIES
Rb 85.47 Rb.upf
Dy 162.50 Dy.upf
Np 237.00 Np.upf
O 16.00 O.upf
ATOMIC_POSITIONS crystal
Rb 0.333 0.667 0.663
Rb 0.000 0.000 0.000
Rb 0.667 0.333 0.337
Dy 0.000 0.000 0.500
Np 0.333 0.667 0.166
Np 0.667 0.333 0.834
O 0.824 0.176 0.679
O 0.824 0.648 0.679
O 0.352 0.176 0.679
O 0.648 0.824 0.321
O 0.176 0.352 0.321
O 0.176 0.824 0.321
O 0.500 0.000 0.000
O 0.000 0.500 0.000
O 0.500 0.500 0.000
CELL_PARAMETERS angstrom
6.128 0.000 0.000
-3.064 5.307 0.000
0.000 0.000 7.506
```

raw formation energy	-40.4	eV per formula unit
SG	No. 164
size of the total moment	2.00	μB/cell

=====

DFT (GGA-PBE) results for an optimized crystal structure of Rb4Dy3NpO8. Values from VASP.

Quantum ESPRESSO input file:
```
&SYSTEM
  ibrav = 0, nat = 16, ntyp = 4
/
ATOMIC_SPECIES
Rb 85.47 Rb.upf
Dy 162.50 Dy.upf
Np 237.00 Np.upf
O 16.00 O.upf
ATOMIC_POSITIONS crystal
Rb 0.500 0.000 0.000
Rb 0.500 0.000 0.500
Rb 0.000 0.000 0.000
Rb 0.000 0.000 0.500
Dy 0.500 0.500 0.000
Dy 0.500 0.500 0.500
Dy 0.000 0.500 0.500
Np 0.000 0.500 0.000
O 0.226 0.675 0.949
O 0.226 0.675 0.452
O 0.275 0.326 0.551
O 0.723 0.675 0.949
O 0.277 0.325 0.051
O 0.725 0.674 0.449
O 0.774 0.325 0.548
O 0.774 0.325 0.051
CELL_PARAMETERS angstrom
-0.855 -7.019 -0.151
7.481 -0.950 1.763
-3.883 3.942 4.407
```

raw formation energy	-40.7	eV per formula unit
SG	No. 166
size of the total moment	3.97	μB/cell

=====

DFT (GGA-PBE) results for an optimized crystal structure of RbDyNpO6. Values from VASP.

Quantum ESPRESSO input file:
```
&SYSTEM
  ibrav = 0, nat = 9, ntyp = 4
/
ATOMIC_SPECIES
Rb 85.47 Rb.upf
Dy 162.50 Dy.upf
Np 237.00 Np.upf
O 16.00 O.upf
ATOMIC_POSITIONS crystal
Rb 0.000 0.000 0.000
Dy 0.667 0.667 0.500
Np 0.333 0.333 0.500
O 0.034 0.367 0.318
O 0.367 0.034 0.682
O 0.600 0.367 0.682
O 0.034 0.600 0.682
O 0.367 0.600 0.318
O 0.600 0.034 0.318
CELL_PARAMETERS angstrom
-4.662 -3.562 0.478
0.457 -5.667 -1.524
1.635 -1.383 5.633
```

raw formation energy	-22.4	eV per formula unit
SG	No. 149
size of the total moment	1.10	μB/cell

=====

DFT (GGA-PBE) results for an optimized crystal structure of Dy2NpRhO8. Values from VASP.

Quantum ESPRESSO input file:
```
&SYSTEM
  ibrav = 0, nat = 12, ntyp = 4
/
ATOMIC_SPECIES
Dy 162.50 Dy.upf
Np 237.00 Np.upf
Rh 102.91 Rh.upf
O 16.00 O.upf
ATOMIC_POSITIONS crystal
Dy 0.500 0.500 0.740
Dy 0.500 0.500 0.260
Np 0.000 0.000 0.000
Rh 0.000 0.000 0.500
O 0.180 0.820 0.250
O 0.709 0.709 0.000
O 0.820 0.180 0.250
O 0.820 0.180 0.750
O 0.291 0.291 0.000
O 0.180 0.820 0.750
O 0.716 0.717 0.500
O 0.284 0.283 0.500
CELL_PARAMETERS angstrom
5.035 -0.098 -0.003
-0.081 5.032 -0.006
0.004 0.007 6.652
```

raw formation energy	-30.2	eV per formula unit
SG	No. 65
size of the total moment	1.65	μB/cell

=====

DFT (GGA-PBE) results for an optimized crystal structure of DyNpS2O. Values from VASP.

Quantum ESPRESSO input file:
```
&SYSTEM
  ibrav = 0, nat = 10, ntyp = 4
/
ATOMIC_SPECIES
Dy 162.50 Dy.upf
Np 237.00 Np.upf
S 32.06 S.upf
O 16.00 O.upf
ATOMIC_POSITIONS crystal
Dy 0.500 0.000 0.119
Dy 0.000 0.500 0.881
Np 0.500 0.000 0.593
Np 0.000 0.500 0.407
S 0.000 0.500 0.690
S 0.000 0.500 0.094
S 0.500 0.000 0.906
S 0.500 0.000 0.310
O 0.000 0.000 0.500
O 0.500 0.500 0.500
CELL_PARAMETERS angstrom
3.850 0.000 0.000
0.000 3.850 0.000
0.000 0.000 13.668
```

raw formation energy	-11.2	eV per formula unit
SG	No. 129
size of the total moment	7.43	μB/cell

=====

DFT (GGA-PBE) results for an optimized crystal structure of DyNpSc2O8. Values from VASP.

Quantum ESPRESSO input file:
```
&SYSTEM
  ibrav = 0, nat = 12, ntyp = 4
/
ATOMIC_SPECIES
Dy 162.50 Dy.upf
Np 237.00 Np.upf
Sc 44.96 Sc.upf
O 16.00 O.upf
ATOMIC_POSITIONS crystal
Dy 0.000 0.000 0.500
Np 0.000 0.000 0.000
Sc 0.500 0.500 0.731
Sc 0.500 0.500 0.269
O 0.194 0.806 0.227
O 0.712 0.713 0.000
O 0.806 0.195 0.227
O 0.806 0.194 0.773
O 0.288 0.287 0.000
O 0.194 0.805 0.773
O 0.682 0.683 0.500
O 0.318 0.317 0.500
CELL_PARAMETERS angstrom
-3.737 1.771 -2.645
1.417 -2.701 -3.846
-3.938 -5.113 2.140
```

raw formation energy	-37.7	eV per formula unit
SG	No. 65
size of the total moment	0.00	μB/cell

=====

DFT (GGA-PBE) results for an optimized crystal structure of DyNpSe2O. Values from VASP.

Quantum ESPRESSO input file:
```
&SYSTEM
  ibrav = 0, nat = 10, ntyp = 4
/
ATOMIC_SPECIES
Dy 162.50 Dy.upf
Np 237.00 Np.upf
Se 78.96 Se.upf
O 16.00 O.upf
ATOMIC_POSITIONS crystal
Dy 0.500 0.000 0.121
Dy 0.000 0.500 0.879
Np 0.500 0.000 0.584
Np 0.000 0.500 0.416
Se 0.000 0.500 0.688
Se 0.000 0.500 0.093
Se 0.500 0.000 0.907
Se 0.500 0.000 0.312
O 0.000 0.000 0.500
O 0.500 0.500 0.500
CELL_PARAMETERS angstrom
-2.167 -3.310 -0.403
2.758 -1.508 -2.436
6.734 -5.768 11.193
```

raw formation energy	-10.5	eV per formula unit
SG	No. 129
size of the total moment	7.44	μB/cell

=====

DFT (GGA-PBE) results for an optimized crystal structure of DyNpSeO2. Values from VASP.

Quantum ESPRESSO input file:
```
&SYSTEM
  ibrav = 0, nat = 5, ntyp = 4
/
ATOMIC_SPECIES
Dy 162.50 Dy.upf
Np 237.00 Np.upf
Se 78.96 Se.upf
O 16.00 O.upf
ATOMIC_POSITIONS crystal
Dy 0.847 0.847 0.694
Np 0.147 0.147 0.294
Se 0.501 0.501 0.001
O 0.753 0.253 0.505
O 0.253 0.753 0.505
CELL_PARAMETERS angstrom
3.827 0.000 0.000
0.000 3.827 0.000
-1.914 -1.914 6.102
```

raw formation energy	-13.3	eV per formula unit
SG	No. 107
size of the total moment	4.00	μB/cell

=====

DFT (GGA-PBE) results for an optimized crystal structure of Sm2DyNpO8. Values from VASP.

Quantum ESPRESSO input file:
```
&SYSTEM
  ibrav = 0, nat = 12, ntyp = 4
/
ATOMIC_SPECIES
Sm 150.36 Sm.upf
Dy 162.50 Dy.upf
Np 237.00 Np.upf
O 16.00 O.upf
ATOMIC_POSITIONS crystal
Sm 0.500 0.500 0.741
Sm 0.500 0.500 0.259
Dy 0.000 0.000 0.500
Np 0.000 0.000 0.000
O 0.030 0.768 0.222
O 0.548 0.780 0.000
O 0.970 0.232 0.222
O 0.970 0.232 0.778
O 0.452 0.220 0.000
O 0.030 0.768 0.778
O 0.503 0.752 0.500
O 0.497 0.248 0.500
CELL_PARAMETERS angstrom
-0.876 0.665 3.744
-5.243 -0.181 -1.603
-0.136 -7.411 1.285
```

raw formation energy	-37.9	eV per formula unit
SG	No. 10
size of the total moment	0.00	μB/cell

=====

DFT (GGA-PBE) results for an optimized crystal structure of SmDyNpO6. Values from VASP.

Quantum ESPRESSO input file:
```
&SYSTEM
  ibrav = 0, nat = 18, ntyp = 4
/
ATOMIC_SPECIES
Sm 150.36 Sm.upf
Dy 162.50 Dy.upf
Np 237.00 Np.upf
O 16.00 O.upf
ATOMIC_POSITIONS crystal
Sm 0.000 0.000 0.000
Sm 0.000 0.000 0.500
Dy 0.333 0.667 0.250
Dy 0.667 0.333 0.750
Np 0.667 0.333 0.250
Np 0.333 0.667 0.750
O 0.664 0.638 0.136
O 0.974 0.336 0.136
O 0.336 0.974 0.636
O 0.026 0.664 0.864
O 0.362 0.336 0.364
O 0.974 0.638 0.364
O 0.638 0.974 0.864
O 0.664 0.026 0.364
O 0.026 0.362 0.636
O 0.362 0.026 0.136
O 0.638 0.664 0.636
O 0.336 0.362 0.864
CELL_PARAMETERS angstrom
-5.132 2.340 -1.207
1.105 -5.459 -1.499
-3.373 -3.015 8.495
```

raw formation energy	-28.7	eV per formula unit
SG	No. 163
size of the total moment	2.00	μB/cell

=====

DFT (GGA-PBE) results for an optimized crystal structure of SmDy2NpO8. Values from VASP.

Quantum ESPRESSO input file:
```
&SYSTEM
  ibrav = 0, nat = 12, ntyp = 4
/
ATOMIC_SPECIES
Sm 150.36 Sm.upf
Dy 162.50 Dy.upf
Np 237.00 Np.upf
O 16.00 O.upf
ATOMIC_POSITIONS crystal
Sm 0.000 0.000 0.500
Dy 0.500 0.500 0.742
Dy 0.500 0.500 0.258
Np 0.000 0.000 0.000
O 0.025 0.761 0.220
O 0.540 0.775 0.000
O 0.976 0.239 0.220
O 0.975 0.239 0.780
O 0.460 0.225 0.000
O 0.024 0.761 0.780
O 0.495 0.743 0.500
O 0.505 0.257 0.500
CELL_PARAMETERS angstrom
-2.856 -0.838 2.510
3.916 -1.251 3.510
0.071 7.063 2.439
```

raw formation energy	-38.2	eV per formula unit
SG	No. 10
size of the total moment	0.00	μB/cell

=====

DFT (GGA-PBE) results for an optimized crystal structure of DyNpSnO6. Values from VASP.

Quantum ESPRESSO input file:
```
&SYSTEM
  ibrav = 0, nat = 18, ntyp = 4
/
ATOMIC_SPECIES
Dy 162.50 Dy.upf
Np 237.00 Np.upf
Sn 118.71 Sn.upf
O 16.00 O.upf
ATOMIC_POSITIONS crystal
Dy 0.333 0.667 0.250
Dy 0.667 0.333 0.750
Np 0.667 0.333 0.250
Np 0.333 0.667 0.750
Sn 0.000 0.000 0.000
Sn 0.000 0.000 0.500
O 0.686 0.666 0.127
O 0.980 0.314 0.127
O 0.314 0.980 0.627
O 0.020 0.686 0.873
O 0.334 0.314 0.373
O 0.980 0.666 0.373
O 0.666 0.980 0.873
O 0.686 0.020 0.373
O 0.020 0.334 0.627
O 0.334 0.020 0.127
O 0.666 0.686 0.627
O 0.314 0.334 0.873
CELL_PARAMETERS angstrom
-5.204 -1.125 1.893
4.135 -3.790 0.682
2.098 3.726 7.983
```

raw formation energy	-22.7	eV per formula unit
SG	No. 163
size of the total moment	4.00	μB/cell